1.
Pu3Zn2Ge4 | PBE | optimized geometry

abc: 4.2666 5.9611 8.5760
angles: 112.44 90.00 110.97
Site moments in Bohr magnetons follow the coordinates.
Element x y z (fractional)
Zn (0.6764, 0.3528, 0.3282)  -0.01
Pu (0.6224, 0.2449, 0.6762)  5.27
Pu (0.3776, 0.7551, 0.3238)  5.27
Pu (0.0000, 0.0000, 0.0000)  5.27
Ge (0.7110, 0.4219, 0.0535)  -0.03
Ge (0.2890, 0.5781, 0.9465)  -0.03
Ge (0.0900, 0.1801, 0.3951)  -0.08
Zn (0.3236, 0.6472, 0.6718)  -0.01
Ge (0.9100, 0.8199, 0.6049)  -0.08

Summary:
N(E_F) = 29.3 states/eV per cell
symmetry = C2/m
E_form = -0.357 eV/atom

2.
Pu2Zn2Ge | PBE | optimized geometry

abc: 3.5930 3.5930 9.0543
angles: 101.44 101.44 90.00
Site moments in Bohr magnetons follow the coordinates.
Element x y z (fractional)
Zn (0.2500, 0.7500, 0.5000)  0.03
Pu (0.4050, 0.4050, 0.8100)  5.45
Zn (0.7500, 0.2500, 0.5000)  0.03
Pu (0.5950, 0.5950, 0.1900)  5.45
Ge (0.0000, 0.0000, 0.0000)  -0.09

Summary:
N(E_F) = 13.8 states/eV per cell
symmetry = I4/mmm
E_form = -0.070 eV/atom

3.
Pu2ZnGe | PBE | optimized geometry

abc: 5.0107 3.6146 3.6146
angles: 90.00 90.00 90.00
Site moments in Bohr magnetons follow the coordinates.
Element x y z (fractional)
Ge (0.5000, 0.0000, 0.0000)  -0.01
Pu (0.0000, 0.5000, 0.0000)  0.62
Zn (0.5000, 0.5000, 0.5000)  -0.01
Pu (0.0000, 0.0000, 0.5000)  0.62

Summary:
N(E_F) = 7.3 states/eV per cell
symmetry = P4/mmm
E_form = 0.171 eV/atom